Record 1
Rb2BeGeTe4 | PBE | optimized geometry

a b c (Å): 6.5364 8.2203 13.3711
angles (deg): 84.42 75.85 66.57
Closest atoms and distances in Å follow each position.
Element x y z (fractional)
Te: 0.2782 0.8133 0.1052  1 Be 2.50, 1 Ge 2.61
Te: 0.8415 0.6867 0.6052  1 Be 2.50, 1 Ge 2.61
Te: 0.1967 0.1867 0.8948  1 Be 2.50, 1 Ge 2.61
Te: 0.4718 0.6867 0.3948  1 Be 2.50, 1 Ge 2.61
Te: 0.1334 0.3133 0.3948  1 Be 2.50, 1 Ge 2.61
Te: 0.5533 0.3133 0.6052  1 Be 2.50, 1 Ge 2.61
Te: 0.6166 0.1867 0.1052  1 Be 2.50, 1 Ge 2.61
Te: 0.9085 0.8133 0.8948  1 Be 2.50, 1 Ge 2.61
Rb: 0.9333 0.5000 0.1335  8 Te 3.89-4.12
Rb: 0.1833 0.0000 0.6335  8 Te 3.89-4.12
Rb: 0.8167 0.0000 0.3665  8 Te 3.89-4.12
Rb: 0.5667 0.5000 0.8665  8 Te 3.89-4.12
Ge: 0.2500 0.5000 0.5000  4 Te 2.61
Ge: 0.5000 0.0000 0.0000  4 Te 2.61
Be: 0.7500 0.5000 0.5000  4 Te 2.50
Be: 0.0000 0.0000 0.0000  4 Te 2.50

Computed properties:
Energy relative to the elements, uncorrected, eV per atom: -0.53
Space group: Fddd (70)
Spin magnetization, μB/cell: 0.00

***

Record 2
RbBe2TlGe | PBE | optimized geometry

a b c (Å): 4.5328 6.4931 4.5328
angles (deg): 90.00 90.00 90.00
Closest atoms and distances in Å follow each position.
Element x y z (fractional)
Ge: 0.0000 0.0000 0.0000  4 Be 2.27
Be: 0.0000 0.0000 0.5000  2 Ge 2.27
Be: 0.5000 0.0000 0.0000  2 Ge 2.27
Rb: 0.0000 0.5000 0.0000  4 Tl 3.21, 2 Ge 3.25
Tl: 0.5000 0.5000 0.5000  4 Rb 3.21

Computed properties:
Space group: P4/mmm (123)
Spin magnetization, μB/cell: 0.00
Formation enthalpy at 0 K, eV/atom: 0.792